No. 1
# Mg2PtSe, relaxed, DFT GGA-PBE
data_Mg2PtSe
_chemical_formula_sum 'Mg8 Pt4 Se4'
_symmetry_space_group_name_H-M 'F -4 3 m'
_symmetry_Int_Tables_number 216
_symmetry_space_group_name_Hall 'F -4 2 3'
_cell_length_a 6.6576
_cell_length_b 6.6576
_cell_length_c 6.6576
_cell_angle_alpha 90.00
_cell_angle_beta 90.00
_cell_angle_gamma 90.00
loop_
_atom_site_label
_atom_site_type_symbol
_atom_site_fract_x
_atom_site_fract_y
_atom_site_fract_z
_atom_site_occupancy
Mg1 Mg 0.0000 0.0000 0.0000 1
Mg2 Mg 0.2500 0.2500 0.2500 1
Pt1 Pt 0.2500 0.2500 0.7500 1
Se1 Se 0.0000 0.0000 0.5000 1
# Formation energy without anion corrections in eV/atom: -0.312

=====

No. 2
# MgPtSe, relaxed, DFT GGA-PBE
data_MgPtSe
_chemical_formula_sum 'Mg2 Pt2 Se2'
_symmetry_space_group_name_H-M 'P 1 m 1'
_symmetry_Int_Tables_number 6
_symmetry_space_group_name_Hall 'P -2y'
_cell_length_a 5.8202
_cell_length_b 3.8305
_cell_length_c 5.8848
_cell_angle_alpha 90.00
_cell_angle_beta 91.85
_cell_angle_gamma 90.00
loop_
_atom_site_label
_atom_site_type_symbol
_atom_site_fract_x
_atom_site_fract_y
_atom_site_fract_z
_atom_site_occupancy
Mg1 Mg 0.0000 0.0000 0.0000 1
Mg2 Mg 0.3296 0.5000 0.3320 1
Pt1 Pt 0.0446 0.0000 0.5057 1
Pt2 Pt 0.8209 0.5000 0.2802 1
Se1 Se 0.2102 0.5000 0.7569 1
Se2 Se 0.5678 0.0000 0.1135 1
# Formation energy without anion corrections in eV/atom: -0.634

=====

No. 3
# MgPtSe, relaxed, DFT GGA-PBE
data_MgPtSe
_chemical_formula_sum 'Mg4 Pt4 Se4'
_symmetry_space_group_name_H-M 'C 1 m 1'
_symmetry_Int_Tables_number 8
_symmetry_space_group_name_Hall 'C -2y'
_cell_length_a 9.1652
_cell_length_b 3.8472
_cell_length_c 8.2365
_cell_angle_alpha 90.00
_cell_angle_beta 119.93
_cell_angle_gamma 90.00
loop_
_atom_site_label
_atom_site_type_symbol
_atom_site_fract_x
_atom_site_fract_y
_atom_site_fract_z
_atom_site_occupancy
Mg1 Mg 0.0000 0.0000 0.0000 1
Mg2 Mg 0.0191 0.5000 0.3235 1
Pt1 Pt 0.2572 0.5000 0.1578 1
Pt2 Pt 0.2617 0.0000 0.3892 1
Se1 Se 0.2693 0.0000 0.9460 1
Se2 Se 0.3204 0.5000 0.6103 1
# Formation energy without anion corrections in eV/atom: -0.685

=====

No. 4
# MgPtSe2, relaxed, DFT GGA-PBE
data_MgPtSe2
_chemical_formula_sum 'Mg2 Pt2 Se4'
_symmetry_space_group_name_H-M 'I m m 2'
_symmetry_Int_Tables_number 44
_symmetry_space_group_name_Hall 'I 2 -2'
_cell_length_a 3.5462
_cell_length_b 3.5877
_cell_length_c 12.5440
_cell_angle_alpha 90.00
_cell_angle_beta 90.00
_cell_angle_gamma 90.00
loop_
_atom_site_label
_atom_site_type_symbol
_atom_site_fract_x
_atom_site_fract_y
_atom_site_fract_z
_atom_site_occupancy
Mg1 Mg 0.0000 0.0000 0.0000 1
Pt1 Pt 0.0000 0.5000 0.7415 1
Se1 Se 0.0000 0.0000 0.4248 1
Se2 Se 0.0000 0.5000 0.1831 1
# Formation energy without anion corrections in eV/atom: -0.367

=====

No. 5
# MgPtSe, relaxed, DFT GGA-PBE
data_MgPtSe
_chemical_formula_sum 'Mg4 Pt4 Se4'
_symmetry_space_group_name_H-M 'C 1 m 1'
_symmetry_Int_Tables_number 8
_symmetry_space_group_name_Hall 'C -2y'
_cell_length_a 8.8097
_cell_length_b 3.8104
_cell_length_c 8.0329
_cell_angle_alpha 90.00
_cell_angle_beta 103.46
_cell_angle_gamma 90.00
loop_
_atom_site_label
_atom_site_type_symbol
_atom_site_fract_x
_atom_site_fract_y
_atom_site_fract_z
_atom_site_occupancy
Mg1 Mg 0.0000 0.0000 0.0000 1
Mg2 Mg 0.0769 0.5000 0.3853 1
Pt1 Pt 0.2214 0.5000 0.0821 1
Pt2 Pt 0.2665 0.0000 0.3148 1
Se1 Se 0.2635 0.0000 0.8795 1
Se2 Se 0.3927 0.5000 0.5189 1
# Formation energy without anion corrections in eV/atom: -0.649

=====

No. 6
# Mg4PtSe, relaxed, DFT GGA-PBE
data_Mg4PtSe
_chemical_formula_sum 'Mg16 Pt4 Se4'
_symmetry_space_group_name_H-M 'F -4 3 m'
_symmetry_Int_Tables_number 216
_symmetry_space_group_name_Hall 'F -4 2 3'
_cell_length_a 7.8431
_cell_length_b 7.8431
_cell_length_c 7.8431
_cell_angle_alpha 90.00
_cell_angle_beta 90.00
_cell_angle_gamma 90.00
loop_
_atom_site_label
_atom_site_type_symbol
_atom_site_fract_x
_atom_site_fract_y
_atom_site_fract_z
_atom_site_occupancy
Mg1 Mg 0.1246 0.1246 0.1246 1
Pt1 Pt 0.2500 0.2500 0.7500 1
Se1 Se 0.0000 0.0000 0.5000 1
# Formation energy without anion corrections in eV/atom: -0.011

=====

No. 7
# MgPtSe2, relaxed, DFT GGA-PBE
data_MgPtSe2
_chemical_formula_sum 'Mg3 Pt3 Se6'
_symmetry_space_group_name_H-M 'R -3 m'
_symmetry_Int_Tables_number 166
_symmetry_space_group_name_Hall '-R 3 2"'
_cell_length_a 3.7948
_cell_length_b 3.7948
_cell_length_c 23.9982
_cell_angle_alpha 90.00
_cell_angle_beta 90.00
_cell_angle_gamma 120.00
loop_
_atom_site_label
_atom_site_type_symbol
_atom_site_fract_x
_atom_site_fract_y
_atom_site_fract_z
_atom_site_occupancy
Mg1 Mg 0.0000 0.0000 0.0000 1
Pt1 Pt 0.0000 0.0000 0.5000 1
Se1 Se 0.0000 0.0000 0.1117 1
# Formation energy without anion corrections in eV/atom: -0.241

=====

No. 8
# MgPtSe, relaxed, DFT GGA-PBE
data_MgPtSe
_chemical_formula_sum 'Mg2 Pt2 Se2'
_symmetry_space_group_name_H-M 'P 4/n m m'
_symmetry_Int_Tables_number 129
_cell_length_a 3.9231
_cell_length_b 3.9231
_cell_length_c 7.5699
_cell_angle_alpha 90.00
_cell_angle_beta 90.00
_cell_angle_gamma 90.00
loop_
_symmetry_equiv_pos_as_xyz
'x,y,z'
'-x,-y,-z'
'-y+1/2,x,z'
'y+1/2,-x,-z'
'-x+1/2,-y+1/2,z'
'x+1/2,y+1/2,-z'
'y,-x+1/2,z'
'-y,x+1/2,-z'
'x+1/2,-y,-z'
'-x+1/2,y,z'
'-y,-x,-z'
'y,x,z'
'-x,y+1/2,-z'
'x,-y+1/2,z'
'y+1/2,x+1/2,-z'
'-y+1/2,-x+1/2,z'
loop_
_atom_site_label
_atom_site_type_symbol
_atom_site_fract_x
_atom_site_fract_y
_atom_site_fract_z
_atom_site_occupancy
Mg1 Mg 0.2500 0.2500 0.1169 1
Pt1 Pt 0.2500 0.2500 0.7635 1
Se1 Se 0.2500 0.7500 0.5000 1
# Formation energy without anion corrections in eV/atom: -0.151

=====

No. 9
# MgPtSe, relaxed, DFT GGA-PBE
data_MgPtSe
_chemical_formula_sum 'Mg2 Pt2 Se2'
_symmetry_space_group_name_H-M 'P 1 m 1'
_symmetry_Int_Tables_number 6
_symmetry_space_group_name_Hall 'P -2y'
_cell_length_a 5.6669
_cell_length_b 3.8152
_cell_length_c 5.6714
_cell_angle_alpha 90.00
_cell_angle_beta 93.27
_cell_angle_gamma 90.00
loop_
_atom_site_label
_atom_site_type_symbol
_atom_site_fract_x
_atom_site_fract_y
_atom_site_fract_z
_atom_site_occupancy
Mg1 Mg 0.0000 0.0000 0.0000 1
Mg2 Mg 0.4645 0.0000 0.4690 1
Pt1 Pt 0.7024 0.5000 0.7642 1
Pt2 Pt 0.9297 0.0000 0.5360 1
Se1 Se 0.1358 0.5000 0.3299 1
Se2 Se 0.4987 0.0000 0.9692 1
# Formation energy without anion corrections in eV/atom: -0.683

=====

No. 10
# MgPtSe, relaxed, DFT GGA-PBE
data_MgPtSe
_chemical_formula_sum 'Mg4 Pt4 Se4'
_symmetry_space_group_name_H-M 'P n m a'
_symmetry_Int_Tables_number 62
_symmetry_space_group_name_Hall '-P 2ac 2n'
_cell_length_a 8.1652
_cell_length_b 4.0410
_cell_length_c 7.8993
_cell_angle_alpha 90.00
_cell_angle_beta 90.00
_cell_angle_gamma 90.00
loop_
_atom_site_label
_atom_site_type_symbol
_atom_site_fract_x
_atom_site_fract_y
_atom_site_fract_z
_atom_site_occupancy
Mg1 Mg 0.0981 0.2500 0.1377 1
Pt1 Pt 0.2200 0.7500 0.9394 1
Se1 Se 0.1754 0.2500 0.7313 1
# Formation energy without anion corrections in eV/atom: -0.535

=====

No. 11
# MgPtSe, relaxed, DFT GGA-PBE
data_MgPtSe
_chemical_formula_sum 'Mg1 Pt1 Se1'
_symmetry_space_group_name_H-M 'P 1'
_symmetry_Int_Tables_number 1
_symmetry_space_group_name_Hall 'P 1'
_cell_length_a 3.7990
_cell_length_b 3.8849
_cell_length_c 4.6001
_cell_angle_alpha 103.67
_cell_angle_beta 114.35
_cell_angle_gamma 90.15
loop_
_atom_site_label
_atom_site_type_symbol
_atom_site_fract_x
_atom_site_fract_y
_atom_site_fract_z
_atom_site_occupancy
Mg1 Mg 0.0000 0.0000 0.0000 1
Pt1 Pt 0.3940 0.4560 0.7886 1
Se1 Se 0.6902 0.4690 0.3774 1
# Formation energy without anion corrections in eV/atom: -0.543

=====

No. 12
# MgPtSe, relaxed, DFT GGA-PBE
data_MgPtSe
_chemical_formula_sum 'Mg2 Pt2 Se2'
_symmetry_space_group_name_H-M 'P 63/m m c'
_symmetry_Int_Tables_number 194
_symmetry_space_group_name_Hall '-P 6c 2c'
_cell_length_a 4.4356
_cell_length_b 4.4356
_cell_length_c 9.4925
_cell_angle_alpha 90.00
_cell_angle_beta 90.00
_cell_angle_gamma 120.00
loop_
_atom_site_label
_atom_site_type_symbol
_atom_site_fract_x
_atom_site_fract_y
_atom_site_fract_z
_atom_site_occupancy
Mg1 Mg 0.3333 0.6667 0.2500 1
Pt1 Pt 0.0000 0.0000 0.0000 1
Se1 Se 0.0000 0.0000 0.2500 1
# Formation energy without anion corrections in eV/atom: -0.137

=====

No. 13
# MgPtSe, relaxed, DFT GGA-PBE
data_MgPtSe
_chemical_formula_sum 'Mg4 Pt4 Se4'
_symmetry_space_group_name_H-M 'C 1 2 1'
_symmetry_Int_Tables_number 5
_symmetry_space_group_name_Hall 'C 2y'
_cell_length_a 8.0468
_cell_length_b 7.5117
_cell_length_c 5.5809
_cell_angle_alpha 90.00
_cell_angle_beta 133.93
_cell_angle_gamma 90.00
loop_
_atom_site_label
_atom_site_type_symbol
_atom_site_fract_x
_atom_site_fract_y
_atom_site_fract_z
_atom_site_occupancy
Mg1 Mg 0.2468 0.0000 0.4974 1
Pt1 Pt 0.0000 0.7483 0.5000 1
Pt2 Pt 0.0000 0.7486 0.0000 1
Se1 Se 0.1501 0.2494 0.9002 1
# Formation energy without anion corrections in eV/atom: -0.658

=====

No. 14
# MgPtSe, relaxed, DFT GGA-PBE
data_MgPtSe
_chemical_formula_sum 'Mg4 Pt4 Se4'
_symmetry_space_group_name_H-M 'C 1 2/m 1'
_symmetry_Int_Tables_number 12
_symmetry_space_group_name_Hall '-C 2y'
_cell_length_a 7.5379
_cell_length_b 5.5667
_cell_length_c 6.2506
_cell_angle_alpha 90.00
_cell_angle_beta 105.02
_cell_angle_gamma 90.00
loop_
_atom_site_label
_atom_site_type_symbol
_atom_site_fract_x
_atom_site_fract_y
_atom_site_fract_z
_atom_site_occupancy
Mg1 Mg 0.0661 0.0000 0.2582 1
Pt1 Pt 0.2500 0.2500 0.0000 1
Se1 Se 0.2144 0.5000 0.3148 1
# Formation energy without anion corrections in eV/atom: -0.638

=====

No. 15
# MgPtSe, relaxed, DFT GGA-PBE
data_MgPtSe
_chemical_formula_sum 'Mg2 Pt2 Se2'
_symmetry_space_group_name_H-M 'P 1 m 1'
_symmetry_Int_Tables_number 6
_symmetry_space_group_name_Hall 'P -2y'
_cell_length_a 4.1961
_cell_length_b 3.8467
_cell_length_c 8.5138
_cell_angle_alpha 90.00
_cell_angle_beta 101.68
_cell_angle_gamma 90.00
loop_
_atom_site_label
_atom_site_type_symbol
_atom_site_fract_x
_atom_site_fract_y
_atom_site_fract_z
_atom_site_occupancy
Mg1 Mg 0.0000 0.0000 0.0000 1
Mg2 Mg 0.2559 0.5000 0.5610 1
Pt1 Pt 0.4696 0.5000 0.9729 1
Pt2 Pt 0.5782 0.0000 0.1953 1
Se1 Se 0.4458 0.0000 0.7637 1
Se2 Se 0.6864 0.5000 0.3851 1
# Formation energy without anion corrections in eV/atom: -0.646

=====

No. 16
# MgPt3Se, relaxed, DFT GGA-PBE
data_MgPt3Se
_chemical_formula_sum 'Mg1 Pt3 Se1'
_symmetry_space_group_name_H-M 'P m -3 m'
_symmetry_Int_Tables_number 221
_symmetry_space_group_name_Hall '-P 4 2 3'
_cell_length_a 4.7124
_cell_length_b 4.7124
_cell_length_c 4.7124
_cell_angle_alpha 90.00
_cell_angle_beta 90.00
_cell_angle_gamma 90.00
loop_
_atom_site_label
_atom_site_type_symbol
_atom_site_fract_x
_atom_site_fract_y
_atom_site_fract_z
_atom_site_occupancy
Mg1 Mg 0.0000 0.0000 0.0000 1
Pt1 Pt 0.0000 0.5000 0.5000 1
Se1 Se 0.5000 0.5000 0.5000 1
# Energy relative to the lowest polymorph listed for this composition in eV per atom: 0.000
# Formation energy without anion corrections in eV/atom: 0.217

=====

No. 17
# Mg3PtSe, relaxed, DFT GGA-PBE
data_Mg3PtSe
_chemical_formula_sum 'Mg3 Pt1 Se1'
_symmetry_space_group_name_H-M 'P m -3 m'
_symmetry_Int_Tables_number 221
_symmetry_space_group_name_Hall '-P 4 2 3'
_cell_length_a 4.8607
_cell_length_b 4.8607
_cell_length_c 4.8607
_cell_angle_alpha 90.00
_cell_angle_beta 90.00
_cell_angle_gamma 90.00
loop_
_atom_site_label
_atom_site_type_symbol
_atom_site_fract_x
_atom_site_fract_y
_atom_site_fract_z
_atom_site_occupancy
Mg1 Mg 0.0000 0.0000 0.5000 1
Pt1 Pt 0.5000 0.5000 0.5000 1
Se1 Se 0.0000 0.0000 0.0000 1
# Energy relative to the lowest polymorph listed for this composition in eV per atom: 0.343
# Formation energy without anion corrections in eV/atom: -0.014

=====

No. 18
# MgPtSe2, relaxed, DFT GGA-PBE
data_MgPtSe2
_chemical_formula_sum 'Mg4 Pt4 Se8'
_symmetry_space_group_name_H-M 'F -4 3 m'
_symmetry_Int_Tables_number 216
_symmetry_space_group_name_Hall 'F -4 2 3'
_cell_length_a 6.6749
_cell_length_b 6.6749
_cell_length_c 6.6749
_cell_angle_alpha 90.00
_cell_angle_beta 90.00
_cell_angle_gamma 90.00
loop_
_atom_site_label
_atom_site_type_symbol
_atom_site_fract_x
_atom_site_fract_y
_atom_site_fract_z
_atom_site_occupancy
Mg1 Mg 0.0000 0.0000 0.0000 1
Pt1 Pt 0.2500 0.2500 0.2500 1
Se1 Se 0.0000 0.0000 0.5000 1
Se2 Se 0.2500 0.2500 0.7500 1
# Formation energy without anion corrections in eV/atom: 0.043

=====

No. 19
# MgPtSe, relaxed, DFT GGA-PBE
data_MgPtSe
_chemical_formula_sum 'Mg2 Pt2 Se2'
_symmetry_space_group_name_H-M 'I 4 m m'
_symmetry_Int_Tables_number 107
_symmetry_space_group_name_Hall 'I 4 -2'
_cell_length_a 3.0809
_cell_length_b 3.0809
_cell_length_c 11.2016
_cell_angle_alpha 90.00
_cell_angle_beta 90.00
_cell_angle_gamma 90.00
loop_
_atom_site_label
_atom_site_type_symbol
_atom_site_fract_x
_atom_site_fract_y
_atom_site_fract_z
_atom_site_occupancy
Mg1 Mg 0.0000 0.0000 0.0000 1
Pt1 Pt 0.0000 0.0000 0.6500 1
Se1 Se 0.0000 0.0000 0.3247 1
# Formation energy without anion corrections in eV/atom: -0.328

=====

No. 20
# MgPtSe2, relaxed, DFT GGA-PBE
data_MgPtSe2
_chemical_formula_sum 'Mg2 Pt2 Se4'
_symmetry_space_group_name_H-M 'C m m m'
_symmetry_Int_Tables_number 65
_symmetry_space_group_name_Hall '-C 2 2'
_cell_length_a 5.8039
_cell_length_b 7.5433
_cell_length_c 3.8067
_cell_angle_alpha 90.00
_cell_angle_beta 90.00
_cell_angle_gamma 90.00
loop_
_atom_site_label
_atom_site_type_symbol
_atom_site_fract_x
_atom_site_fract_y
_atom_site_fract_z
_atom_site_occupancy
Mg1 Mg 0.0000 0.0000 0.0000 1
Pt1 Pt 0.0000 0.5000 0.0000 1
Se1 Se 0.0000 0.2798 0.5000 1
# Formation energy without anion corrections in eV/atom: -0.372